Record 1
Computed, not measured: a relaxed structure of VFe5Si2Mo2 at the PBE level of DFT.

abc: 8.542 8.542 3.371
angles: 90.00 90.00 90.00
Space group P4/mbm (No. 127)
Unique sites:
V (0.000, 0.000, 0.000) x2
Fe (0.000, 0.500, 0.500) x2
Fe (0.060, 0.201, 0.500) x8
Si (0.123, 0.377, 0.000) x4
Mo (0.175, 0.675, 0.000) x4

## Properties
The calculation puts the total energy at -8.54 eV/atom. Its size of the total moment is 3.0 μB/f.u. The calculation puts the density of states at the Fermi level at 19.4 states/eV/cell.



Record 2
Computed, not measured: a relaxed structure of La2TbCoPb at the PBE level of DFT.

abc: 5.189 5.189 5.412
angles: 90.00 90.00 90.00
Space group P4/mmm (No. 123)
Unique sites:
La (0.000, 0.500, 0.000) x2
Tb (0.000, 0.000, 0.500) x1
Co (0.000, 0.000, 0.000) x1
Pb (0.500, 0.500, 0.500) x1

## Properties
The calculation puts the total energy at -5.43 eV/atom. Its size of the total moment is 0.0 μB/f.u. The calculation puts the density of states at the Fermi level at 2.8 states/eV/cell.



Record 3
Computed, not measured: a relaxed structure of MgSbPd5 at the PBE level of DFT.

abc: 7.868 8.559 7.379
angles: 90.00 90.00 90.00
Space group Imma (No. 74)
Unique sites:
Mg (0.000, 0.250, 0.172) x4
Sb (0.000, 0.000, 0.500) x4
Pd (0.000, 0.250, 0.806) x4
Pd (0.201, 0.250, 0.491) x8
Pd (0.250, 0.005, 0.750) x8

## Properties
The calculation puts the total energy at -4.87 eV/atom. Its size of the total moment is 0.0 μB/f.u. The calculation puts the density of states at the Fermi level at 13.4 states/eV/cell.



Record 4
Computed, not measured: a relaxed structure of K2HgPPd at the PBE level of DFT.

abc: 6.311 6.311 4.432
angles: 90.00 90.00 90.00
Space group P4/mmm (No. 123)
Unique sites:
K (0.000, 0.500, 0.000) x2
Hg (0.000, 0.000, 0.500) x1
P (0.500, 0.500, 0.000) x1
Pd (0.500, 0.500, 0.500) x1

## Properties
Its size of the total moment is 0.0 μB/f.u. The calculation puts the energy relative to the lowest polymorph listed for this composition at 0.000 eV per atom. The calculation puts the density of states at the Fermi level at 3.0 states/eV/cell.